Entry 1:
This record from Alexandria via LeMat-Bulk describes a relaxed HfTcS3 crystal. The functional is GGA-PBE.

theoretical density	6.46	Mg/m³
calculated volume	95.8	Å³ per cell
E_form (uncorrected)	0.90	eV/f.u.
energy relative to the lowest polymorph listed for this composition	0.75	eV/f.u.

a = 4.576 Å, b = 4.576 Å, c = 4.576 Å
α = 90.00°, β = 90.00°, γ = 90.00°
Fractional coordinates of all 5 atoms:
S  0.000  0.500  0.000
S  0.000  0.000  0.500
S  0.500  0.000  0.000
Hf  0.500  0.500  0.500
Tc  0.000  0.000  0.000

Entry 2:
This record from Alexandria via LeMat-Bulk describes a relaxed SrTmCu4 crystal. The functional is GGA-PBE.

ΔH_f (0 K)	-0.02	eV per formula unit
theoretical density	7.82	Mg/m³
calculated volume	108.5	Å³ per cell

a = 5.354 Å, b = 5.354 Å, c = 5.354 Å
α = 60.00°, β = 60.00°, γ = 60.00°
Fractional coordinates of all 6 atoms:
Sr  0.000  0.000  0.000
Tm  0.250  0.250  0.250
Cu  0.624  0.624  0.129
Cu  0.624  0.129  0.624
Cu  0.624  0.624  0.624
Cu  0.129  0.624  0.624

Entry 3:
This record from Alexandria via LeMat-Bulk describes a relaxed Th3Pa4Se8 crystal. The functional is GGA-PBE.

theoretical density	9.51	Mg/m³
calculated volume	393.3	Å³ per cell
E_form (uncorrected)	-20.78	eV/f.u.

a = 8.163 Å, b = 8.227 Å, c = 8.227 Å
α = 89.98°, β = 119.78°, γ = 119.78°
Site moments in Bohr magnetons follow the coordinates.
Fractional coordinates of all 15 atoms:
Th  0.500  0.500  0.000  0.01
Th  0.500  0.000  0.500  0.01
Th  0.500  0.500  0.500  0.01
Pa  0.500  0.000  0.000  0.46
Pa  0.000  0.500  0.000  0.39
Pa  0.000  0.000  0.000  0.82
Pa  0.000  0.000  0.500  0.39
Se  0.517  0.255  0.255  -0.01
Se  0.000  0.742  0.258  -0.01
Se  0.994  0.255  0.255  -0.01
Se  0.500  0.753  0.247  -0.01
Se  0.500  0.247  0.753  -0.01
Se  0.006  0.745  0.745  -0.01
Se  0.000  0.258  0.742  -0.01
Se  0.483  0.745  0.745  -0.01

Entry 4:
This record from Alexandria via LeMat-Bulk describes a relaxed CrCoPd2 crystal. The functional is GGA-PBE.

ΔH_f (0 K)	2.79	eV per formula unit
theoretical density	9.27	Mg/m³
calculated volume	116.0	Å³ per cell

a = 6.688 Å, b = 6.688 Å, c = 5.393 Å
α = 51.69°, β = 51.69°, γ = 90.00°
Fractional coordinates of all 8 atoms:
Cr  0.500  0.500  0.000
Cr  0.250  0.750  0.500
Co  0.000  0.000  0.000
Co  0.750  0.250  0.500
Pd  0.616  0.125  0.250
Pd  0.134  0.625  0.250
Pd  0.375  0.384  0.750
Pd  0.875  0.866  0.750

Entry 5:
This record from Alexandria via LeMat-Bulk describes a relaxed BeMoBr2 crystal. The functional is GGA-PBE.

theoretical density	5.38	Mg/m³
calculated volume	81.8	Å³ per cell
E_form (uncorrected)	3.65	eV/f.u.
energy relative to the lowest polymorph listed for this composition	3.54	eV/f.u.

a = 3.311 Å, b = 5.869 Å, c = 4.207 Å
α = 90.00°, β = 90.00°, γ = 90.00°
Site moments in Bohr magnetons follow the coordinates.
Fractional coordinates of all 4 atoms:
Be  0.000  0.500  0.500  -0.08
Mo  0.500  0.000  0.500  2.61
Br  0.000  0.000  0.000  0.04
Br  0.500  0.500  0.000  0.05

Entry 6:
This record from Alexandria via LeMat-Bulk describes a relaxed PrPaPd4 crystal. The functional is GGA-PBE.

ΔH_f (0 K)	-3.31	eV per formula unit
theoretical density	11.30	Mg/m³
calculated volume	117.2	Å³ per cell
energy relative to the lowest polymorph listed for this composition	0.00	eV/f.u.

a = 5.493 Å, b = 5.493 Å, c = 5.493 Å
α = 60.00°, β = 60.00°, γ = 60.00°
Site moments in Bohr magnetons follow the coordinates.
Fractional coordinates of all 6 atoms:
Pr  0.000  0.000  0.000  0.12
Pa  0.250  0.250  0.250  1.00
Pd  0.624  0.624  0.127  0.00
Pd  0.624  0.127  0.624  0.00
Pd  0.624  0.624  0.624  0.00
Pd  0.127  0.624  0.624  0.00

Entry 7:
This record from Alexandria via LeMat-Bulk describes a relaxed K4Zr3 crystal. The functional is GGA-PBE.

ΔH_f (0 K)	5.75	eV per formula unit
theoretical density	2.68	Mg/m³
calculated volume	266.3	Å³ per cell

a = 6.203 Å, b = 6.203 Å, c = 7.992 Å
α = 90.00°, β = 90.00°, γ = 120.00°
Fractional coordinates of all 7 atoms:
K  0.000  0.000  0.252
K  0.000  0.000  0.748
K  0.667  0.333  0.500
K  0.333  0.667  0.500
Zr  0.000  0.500  0.000
Zr  0.500  0.500  0.000
Zr  0.500  0.000  0.000

Entry 8:
This record from Alexandria via LeMat-Bulk describes a relaxed Ta2CuBPd crystal. The functional is GGA-PBE.

ΔH_f (0 K)	0.61	eV per formula unit
theoretical density	11.82	Mg/m³
calculated volume	76.3	Å³ per cell

a = 4.323 Å, b = 4.081 Å, c = 4.323 Å
α = 90.00°, β = 90.00°, γ = 90.00°
Fractional coordinates of all 5 atoms:
B  0.000  0.000  0.000
Cu  0.500  0.500  0.500
Pd  0.000  0.500  0.000
Ta  0.000  0.000  0.500
Ta  0.500  0.000  0.000

Entry 9:
This record from Alexandria via LeMat-Bulk describes a relaxed CdPd crystal. The functional is GGA-PBE.

ΔH_f (0 K)	0.50	eV per formula unit
theoretical density	5.24	Mg/m³
calculated volume	554.5	Å³ per cell

a = 8.215 Å, b = 8.215 Å, c = 8.215 Å
α = 90.00°, β = 90.00°, γ = 90.00°
Fractional coordinates of all 16 atoms:
Cd  0.302  0.302  0.302
Cd  0.302  0.698  0.698
Cd  0.698  0.302  0.698
Cd  0.698  0.698  0.302
Cd  0.802  0.802  0.802
Cd  0.802  0.198  0.198
Cd  0.198  0.802  0.198
Cd  0.198  0.198  0.802
Pd  0.118  0.118  0.118
Pd  0.118  0.882  0.882
Pd  0.882  0.118  0.882
Pd  0.882  0.882  0.118
Pd  0.618  0.618  0.618
Pd  0.618  0.382  0.382
Pd  0.382  0.618  0.382
Pd  0.382  0.382  0.618

Entry 10:
This record from Alexandria via LeMat-Bulk describes a relaxed InFeP crystal. The functional is GGA-PBE.

ΔH_f (0 K)	0.04	eV per formula unit
theoretical density	6.84	Mg/m³
calculated volume	49.0	Å³ per cell

a = 3.103 Å, b = 3.103 Å, c = 5.872 Å
α = 90.00°, β = 90.00°, γ = 120.00°
Site moments in Bohr magnetons follow the coordinates.
Fractional coordinates of all 3 atoms:
Fe  0.000  0.000  0.953  1.17
In  0.667  0.333  0.314  -0.01
P  0.333  0.667  0.732  -0.06

Entry 11:
This record from Alexandria via LeMat-Bulk describes a relaxed HfZrBiI2 crystal. The functional is GGA-PBE.

theoretical density	6.68	Mg/m³
calculated volume	182.1	Å³ per cell
E_form (uncorrected)	3.09	eV/f.u.

a = 5.521 Å, b = 5.973 Å, c = 5.521 Å
α = 90.00°, β = 90.00°, γ = 90.00°
Site moments in Bohr magnetons follow the coordinates.
Fractional coordinates of all 5 atoms:
I  0.000  0.000  0.500  0.00
I  0.500  0.000  0.000  -0.01
Hf  0.500  0.500  0.500  0.84
Bi  0.000  0.500  0.000  -0.04
Zr  0.000  0.000  0.000  0.06

Entry 12:
This record from Alexandria via LeMat-Bulk describes a relaxed Sm2Cu15Ag2 crystal. The functional is GGA-PBE.

ΔH_f (0 K)	-1.75	eV per formula unit
theoretical density	8.73	Mg/m³
calculated volume	279.4	Å³ per cell

a = 6.583 Å, b = 6.583 Å, c = 6.583 Å
α = 83.02°, β = 83.02°, γ = 83.02°
Fractional coordinates of all 19 atoms:
Sm  0.347  0.347  0.347
Sm  0.653  0.653  0.653
Cu  0.500  0.000  0.000
Cu  0.000  0.000  0.500
Cu  0.000  0.500  0.000
Cu  0.000  0.700  0.300
Cu  0.700  0.300  0.000
Cu  0.300  0.000  0.700
Cu  0.300  0.700  0.000
Cu  0.700  0.000  0.300
Cu  0.000  0.300  0.700
Cu  0.160  0.652  0.652
Cu  0.652  0.652  0.160
Cu  0.652  0.160  0.652
Cu  0.840  0.348  0.348
Cu  0.348  0.348  0.840
Cu  0.348  0.840  0.348
Ag  0.104  0.104  0.104
Ag  0.896  0.896  0.896